[1]
Density functional theory data (GGA-PBE) for Ac2PmGe3Au12 after structural relaxation.

a = 9.1456 Å, b = 9.1456 Å, c = 19.4050 Å
α = 90.00°, β = 90.00°, γ = 120.00°
Space group R-3m (No. 166, hexagonal axes)
Asymmetric unit:
Ac 0.0000 0.0000 0.1023 (multiplicity 6)
Pm 0.0000 0.0000 0.5000 (multiplicity 3)
Ge 0.0000 0.5000 0.0000 (multiplicity 9)
Au 0.0181 0.5090 0.3236 (multiplicity 18)
Au 0.0263 0.5131 0.8669 (multiplicity 18)

Results
E_form ... -3.435 eV per formula unit
Uncorrected energy ... -3.87 eV per atom
N(E_F) ... 24.7 states/eV per cell

---

[2]
Density functional theory data (GGA-PBE) for AcPrGeAu after structural relaxation.

a = 7.662 Å, b = 7.662 Å, c = 7.662 Å
α = 90.00°, β = 90.00°, γ = 90.00°
Space group F-43m (No. 216)
Asymmetric unit:
Ac 0.000 0.000 0.000 (multiplicity 4)
Pr 0.000 0.000 0.500 (multiplicity 4)
Ge 0.250 0.250 0.750 (multiplicity 4)
Au 0.250 0.250 0.250 (multiplicity 4)

Results
E_form ... -2.698 eV per formula unit
Uncorrected energy ... -4.87 eV per atom
N(E_F) ... 11.8 states/eV per cell

---

[3]
Density functional theory data (GGA-PBE) for AcGe2Pt5Au after structural relaxation.

a = 4.305 Å, b = 4.305 Å, c = 9.295 Å
α = 90.00°, β = 90.00°, γ = 90.00°
Space group P4/mmm (No. 123)
Asymmetric unit:
Ac 0.000 0.000 0.000 (multiplicity 1)
Ge 0.500 0.500 0.372 (multiplicity 2)
Pt 0.000 0.500 0.243 (multiplicity 4)
Pt 0.500 0.500 0.000 (multiplicity 1)
Au 0.000 0.000 0.500 (multiplicity 1)

Results
E_form ... -3.781 eV per formula unit
Uncorrected energy ... -5.62 eV per atom
N(E_F) ... 2.4 states/eV per cell

---

[4]
Density functional theory data (GGA-PBE) for Ac2GePt6Au after structural relaxation.

a = 5.7263 Å, b = 5.7263 Å, c = 24.0296 Å
α = 90.00°, β = 90.00°, γ = 120.00°
Space group R-3m (No. 166, hexagonal axes)
Asymmetric unit:
Ac 0.0000 0.0000 0.2088 (multiplicity 6)
Ge 0.0000 0.0000 0.0000 (multiplicity 3)
Pt 0.0113 0.5057 0.2599 (multiplicity 18)
Au 0.0000 0.0000 0.5000 (multiplicity 3)

Results
E_form ... -7.102 eV per formula unit
Uncorrected energy ... -5.95 eV per atom
N(E_F) ... 5.2 states/eV per cell

---

[5]
Density functional theory data (GGA-PBE) for Ac2GePt4Au2 after structural relaxation.

a = 6.514 Å, b = 6.514 Å, c = 9.217 Å
α = 90.00°, β = 90.00°, γ = 90.00°
Space group I4/mmm (No. 139)
Asymmetric unit:
Ac 0.000 0.500 0.250 (multiplicity 4)
Ge 0.000 0.000 0.000 (multiplicity 2)
Pt 0.229 0.229 0.500 (multiplicity 8)
Au 0.000 0.000 0.289 (multiplicity 4)

Results
E_form ... -6.669 eV per formula unit
Uncorrected energy ... -5.58 eV per atom
N(E_F) ... 8.7 states/eV per cell

---

[6]
Density functional theory data (GGA-PBE) for Ac2PuGe4Au3 after structural relaxation.

a = 4.594 Å, b = 4.594 Å, c = 11.386 Å
α = 90.00°, β = 90.00°, γ = 90.00°
Space group P-4m2 (No. 115)
Asymmetric unit:
Ac 0.000 0.500 0.236 (multiplicity 2)
Pu 0.000 0.000 0.500 (multiplicity 1)
Ge 0.000 0.000 0.000 (multiplicity 1)
Ge 0.000 0.500 0.654 (multiplicity 2)
Ge 0.500 0.500 0.000 (multiplicity 1)
Au 0.000 0.500 0.881 (multiplicity 2)
Au 0.500 0.500 0.500 (multiplicity 1)

Results
E_form ... -5.431 eV per formula unit
Uncorrected energy ... -5.63 eV per atom
N(E_F) ... 17.3 states/eV per cell

---

[7]
Density functional theory data (GGA-PBE) for AcPu2Ge2Au2 after structural relaxation.

a = 4.6410 Å, b = 4.6410 Å, c = 26.8658 Å
α = 90.00°, β = 90.00°, γ = 120.00°
Space group R-3m (No. 166, hexagonal axes)
Asymmetric unit:
Ac 0.0000 0.0000 0.0000 (multiplicity 3)
Pu 0.0000 0.0000 0.1426 (multiplicity 6)
Ge 0.0000 0.0000 0.2584 (multiplicity 6)
Au 0.0000 0.0000 0.4246 (multiplicity 6)

Results
E_form ... -3.634 eV per formula unit
Uncorrected energy ... -7.46 eV per atom
N(E_F) ... 41.3 states/eV per cell

---

[8]
Density functional theory data (GGA-PBE) for AcPuGeAu after structural relaxation.

a = 7.568 Å, b = 7.568 Å, c = 7.568 Å
α = 90.00°, β = 90.00°, γ = 90.00°
Space group F-43m (No. 216)
Asymmetric unit:
Ac 0.000 0.000 0.000 (multiplicity 4)
Pu 0.000 0.000 0.500 (multiplicity 4)
Ge 0.250 0.250 0.750 (multiplicity 4)
Au 0.250 0.250 0.250 (multiplicity 4)

Results
E_form ... -2.025 eV per formula unit
Uncorrected energy ... -7.09 eV per atom
N(E_F) ... 47.4 states/eV per cell

---

[9]
Density functional theory data (GGA-PBE) for Ac2PuGe3Au12 after structural relaxation.

a = 9.2145 Å, b = 9.2145 Å, c = 18.9934 Å
α = 90.00°, β = 90.00°, γ = 120.00°
Space group R-3m (No. 166, hexagonal axes)
Asymmetric unit:
Ac 0.0000 0.0000 0.1022 (multiplicity 6)
Pu 0.0000 0.0000 0.5000 (multiplicity 3)
Ge 0.0000 0.5000 0.0000 (multiplicity 9)
Au 0.0183 0.5092 0.3229 (multiplicity 18)
Au 0.0259 0.5129 0.8646 (multiplicity 18)

Results
E_form ... -2.313 eV per formula unit
Uncorrected energy ... -4.34 eV per atom
N(E_F) ... 70.1 states/eV per cell

---

[10]
Density functional theory data (GGA-PBE) for AcGeSbAu after structural relaxation.

a = 7.490 Å, b = 7.490 Å, c = 7.490 Å
α = 90.00°, β = 90.00°, γ = 90.00°
Space group F-43m (No. 216)
Asymmetric unit:
Ac 0.000 0.000 0.000 (multiplicity 4)
Ge 0.250 0.250 0.750 (multiplicity 4)
Sb 0.000 0.000 0.500 (multiplicity 4)
Au 0.250 0.250 0.250 (multiplicity 4)

Results
Uncorrected energy ... -4.43 eV per atom
N(E_F) ... 11.0 states/eV per cell

---

[11]
Density functional theory data (GGA-PBE) for Ac3GeSb2Au6 after structural relaxation.

a = 6.4136 Å, b = 6.4136 Å, c = 8.9253 Å
α = 90.00°, β = 90.00°, γ = 120.00°
Space group P-3m1 (No. 164)
Asymmetric unit:
Ac 0.0000 0.0000 0.0000 (multiplicity 1)
Ac 0.3333 0.6667 0.6376 (multiplicity 2)
Ge 0.0000 0.0000 0.5000 (multiplicity 1)
Sb 0.3333 0.6667 0.0442 (multiplicity 2)
Au 0.1758 0.3516 0.2969 (multiplicity 6)

Results
Uncorrected energy ... -4.30 eV per atom
N(E_F) ... 7.5 states/eV per cell

---

[12]
Density functional theory data (GGA-PBE) for Ac2GeSbAu6 after structural relaxation.

a = 5.524 Å, b = 7.185 Å, c = 7.341 Å
α = 81.84°, β = 67.98°, γ = 67.40°
Space group P-1 (No. 2)
Asymmetric unit:
Ac 0.244 0.234 0.278 (multiplicity 2)
Ge 0.000 0.000 0.000 (multiplicity 1)
Sb 0.500 0.500 0.500 (multiplicity 1)
Au 0.220 0.792 0.265 (multiplicity 2)
Au 0.248 0.585 0.921 (multiplicity 2)
Au 0.278 0.209 0.737 (multiplicity 2)

Results
Uncorrected energy ... -4.18 eV per atom
N(E_F) ... 2.9 states/eV per cell

---

[13]
Density functional theory data (GGA-PBE) for Ac2ScGe3Au4 after structural relaxation.

a = 4.493 Å, b = 4.493 Å, c = 11.468 Å
α = 90.00°, β = 90.00°, γ = 90.00°
Space group P-4m2 (No. 115)
Asymmetric unit:
Ac 0.000 0.500 0.228 (multiplicity 2)
Sc 0.000 0.000 0.500 (multiplicity 1)
Ge 0.000 0.500 0.869 (multiplicity 2)
Ge 0.500 0.500 0.500 (multiplicity 1)
Au 0.000 0.000 0.000 (multiplicity 1)
Au 0.000 0.500 0.643 (multiplicity 2)
Au 0.500 0.500 0.000 (multiplicity 1)

Results
E_form ... -6.532 eV per formula unit
Uncorrected energy ... -4.80 eV per atom
N(E_F) ... 5.6 states/eV per cell

---

[14]
Density functional theory data (GGA-PBE) for AcScGe2Au2 after structural relaxation.

a = 4.4839 Å, b = 4.4839 Å, c = 7.6925 Å
α = 90.00°, β = 90.00°, γ = 120.00°
Space group P-3m1 (No. 164)
Asymmetric unit:
Ac 0.0000 0.0000 0.0000 (multiplicity 1)
Sc 0.0000 0.0000 0.5000 (multiplicity 1)
Ge 0.3333 0.6667 0.2683 (multiplicity 2)
Au 0.3333 0.6667 0.6835 (multiplicity 2)

Results
E_form ... -4.616 eV per formula unit
Uncorrected energy ... -5.14 eV per atom
N(E_F) ... 1.8 states/eV per cell

---

[15]
Density functional theory data (GGA-PBE) for AcScGeAu after structural relaxation.

a = 7.388 Å, b = 7.388 Å, c = 7.388 Å
α = 90.00°, β = 90.00°, γ = 90.00°
Space group F-43m (No. 216)
Asymmetric unit:
Ac 0.000 0.000 0.000 (multiplicity 4)
Sc 0.000 0.000 0.500 (multiplicity 4)
Ge 0.250 0.250 0.750 (multiplicity 4)
Au 0.250 0.250 0.250 (multiplicity 4)

Results
E_form ... -2.302 eV per formula unit
Uncorrected energy ... -5.16 eV per atom
N(E_F) ... 15.3 states/eV per cell

---

[16]
Density functional theory data (GGA-PBE) for Ac4GeAuSe2 after structural relaxation.

a = 7.776 Å, b = 4.536 Å, c = 7.985 Å
α = 90.00°, β = 108.82°, γ = 90.00°
Space group P2/m (No. 10)
Asymmetric unit:
Ac 0.244 0.000 0.245 (multiplicity 2)
Ac 0.248 0.500 0.752 (multiplicity 2)
Ge 0.000 0.500 0.000 (multiplicity 1)
Au 0.500 0.000 0.000 (multiplicity 1)
Se 0.000 0.000 0.500 (multiplicity 1)
Se 0.500 0.500 0.500 (multiplicity 1)

Results
Uncorrected energy ... -5.22 eV per atom
N(E_F) ... 6.1 states/eV per cell

---

[17]
Density functional theory data (GGA-PBE) for Ac2SiGe2Au4 after structural relaxation.

a = 6.526 Å, b = 6.526 Å, c = 9.943 Å
α = 90.00°, β = 90.00°, γ = 90.00°
Space group I4/mmm (No. 139)
Asymmetric unit:
Ac 0.000 0.500 0.250 (multiplicity 4)
Si 0.000 0.000 0.000 (multiplicity 2)
Ge 0.000 0.000 0.325 (multiplicity 4)
Au 0.234 0.234 0.500 (multiplicity 8)

Results
Uncorrected energy ... -4.55 eV per atom
N(E_F) ... 4.5 states/eV per cell

---

[18]
Density functional theory data (GGA-PBE) for AcSi2GeAu6 after structural relaxation.

a = 6.7170 Å, b = 6.7170 Å, c = 20.6534 Å
α = 90.00°, β = 90.00°, γ = 120.00°
Space group R-3 (No. 148, hexagonal axes)
Asymmetric unit:
Ac 0.0000 0.0000 0.0000 (multiplicity 3)
Si 0.0000 0.0000 0.2964 (multiplicity 6)
Ge 0.0000 0.0000 0.5000 (multiplicity 3)
Au 0.0505 0.5816 0.0708 (multiplicity 18)

Results
Uncorrected energy ... -4.01 eV per atom
N(E_F) ... 13.1 states/eV per cell

---

[19]
Density functional theory data (GGA-PBE) for Ac2SiGeAu6 after structural relaxation.

a = 5.770 Å, b = 6.989 Å, c = 7.109 Å
α = 75.38°, β = 66.15°, γ = 65.65°
Space group P-1 (No. 2)
Asymmetric unit:
Ac 0.246 0.227 0.286 (multiplicity 2)
Si 0.000 0.000 0.000 (multiplicity 1)
Ge 0.500 0.500 0.500 (multiplicity 1)
Au 0.238 0.773 0.253 (multiplicity 2)
Au 0.242 0.616 0.891 (multiplicity 2)
Au 0.265 0.225 0.746 (multiplicity 2)

Results
Uncorrected energy ... -4.30 eV per atom
N(E_F) ... 4.3 states/eV per cell

---

[20]
Density functional theory data (GGA-PBE) for Ac2Si2GeAu6 after structural relaxation.

a = 6.7215 Å, b = 6.7215 Å, c = 23.6927 Å
α = 90.00°, β = 90.00°, γ = 120.00°
Space group R-3m (No. 166, hexagonal axes)
Asymmetric unit:
Ac 0.0000 0.0000 0.2088 (multiplicity 6)
Si 0.0000 0.0000 0.4516 (multiplicity 6)
Ge 0.0000 0.0000 0.0000 (multiplicity 3)
Au 0.0476 0.5238 0.7512 (multiplicity 18)

Results
Uncorrected energy ... -4.29 eV per atom
N(E_F) ... 14.7 states/eV per cell

---

[21]
Density functional theory data (GGA-PBE) for Ac2SmGe4Au3 after structural relaxation.

a = 4.608 Å, b = 4.608 Å, c = 11.390 Å
α = 90.00°, β = 90.00°, γ = 90.00°
Space group P-4m2 (No. 115)
Asymmetric unit:
Ac 0.000 0.500 0.229 (multiplicity 2)
Sm 0.000 0.000 0.500 (multiplicity 1)
Ge 0.000 0.000 0.000 (multiplicity 1)
Ge 0.000 0.500 0.654 (multiplicity 2)
Ge 0.500 0.500 0.000 (multiplicity 1)
Au 0.000 0.500 0.883 (multiplicity 2)
Au 0.500 0.500 0.500 (multiplicity 1)

Results
E_form ... -6.592 eV per formula unit
Uncorrected energy ... -4.78 eV per atom
N(E_F) ... 2.4 states/eV per cell

---

[22]
Density functional theory data (GGA-PBE) for AcSmGeAu after structural relaxation.

a = 7.599 Å, b = 7.599 Å, c = 7.599 Å
α = 90.00°, β = 90.00°, γ = 90.00°
Space group F-43m (No. 216)
Asymmetric unit:
Ac 0.000 0.000 0.000 (multiplicity 4)
Sm 0.000 0.000 0.500 (multiplicity 4)
Ge 0.250 0.250 0.750 (multiplicity 4)
Au 0.250 0.250 0.250 (multiplicity 4)

Results
E_form ... -2.679 eV per formula unit
Uncorrected energy ... -4.85 eV per atom
N(E_F) ... 12.9 states/eV per cell

---

[23]
Density functional theory data (GGA-PBE) for Ac2SnGe3Au4 after structural relaxation.

a = 4.613 Å, b = 4.613 Å, c = 10.987 Å
α = 90.00°, β = 90.00°, γ = 90.00°
Space group P-4m2 (No. 115)
Asymmetric unit:
Ac 0.000 0.500 0.236 (multiplicity 2)
Sn 0.000 0.000 0.500 (multiplicity 1)
Ge 0.000 0.500 0.874 (multiplicity 2)
Ge 0.500 0.500 0.500 (multiplicity 1)
Au 0.000 0.000 0.000 (multiplicity 1)
Au 0.000 0.500 0.642 (multiplicity 2)
Au 0.500 0.500 0.000 (multiplicity 1)

Results
E_form ... -6.139 eV per formula unit
Uncorrected energy ... -4.53 eV per atom
N(E_F) ... 3.2 states/eV per cell